# GGA-PBE NiIr2Br, relaxed
# Formation energy (no corrections): 3.92 eV per formula unit
# DOS(E_F): 4.7 states/eV/f.u.
data_NiIr2Br
_chemical_formula_sum 'Ni4 Ir8 Br4'
_symmetry_space_group_name_H-M 'F -4 3 m'
_symmetry_Int_Tables_number 216
_symmetry_space_group_name_Hall 'F -4 2 3'
_cell_length_a 6.2515
_cell_length_b 6.2515
_cell_length_c 6.2515
_cell_angle_alpha 90.00
_cell_angle_beta 90.00
_cell_angle_gamma 90.00
loop_
_atom_site_label
_atom_site_fract_x
_atom_site_fract_y
_atom_site_fract_z
Ni1 0.0000 0.0000 0.0000
Ir1 0.0000 0.0000 0.5000
Ir2 0.2500 0.2500 0.2500
Br1 0.2500 0.2500 0.7500